(1)
The following is a DFT calculation (PBE) of a geometry-optimized CsAl3P6O20 structure. Values from VASP.

D(E_F) (states/eV per cell): 0.0
Formation energy without anion corrections (eV per atom): -2.4652
SG: Aea2 (41)
Calculated volume (A^3/atom): 14.14

Cell and atoms, written as Quantum ESPRESSO input:
```
&SYSTEM
  ibrav = 0, nat = 60, ntyp = 4
/
ATOMIC_SPECIES
O 16.00 O.upf
Al 26.98 Al.upf
P 30.97 P.upf
Cs 132.91 Cs.upf
ATOMIC_POSITIONS crystal
O 0.555 0.326 0.776
O 0.265 0.793 0.875
O 0.051 0.340 0.258
O 0.719 0.087 0.800
O 0.825 0.506 0.276
O 0.074 0.886 0.448
O 0.551 0.840 0.242
O 0.864 0.568 0.073
O 0.849 0.301 0.429
O 0.006 0.325 0.776
O 0.340 0.051 0.742
O 0.280 0.315 0.697
O 0.793 0.265 0.125
O 0.780 0.815 0.803
O 0.087 0.719 0.200
O 0.219 0.587 0.700
O 0.840 0.551 0.758
O 0.237 0.306 0.105
O 0.068 0.364 0.573
O 0.568 0.864 0.927
O 0.386 0.574 0.948
O 0.587 0.219 0.300
O 0.306 0.237 0.895
O 0.806 0.737 0.605
O 0.055 0.826 0.724
O 0.315 0.280 0.303
O 0.293 0.765 0.375
O 0.349 0.801 0.071
O 0.364 0.068 0.427
O 0.301 0.849 0.571
O 0.801 0.349 0.929
O 0.325 0.006 0.224
O 0.506 0.825 0.724
O 0.826 0.055 0.276
O 0.815 0.780 0.197
O 0.574 0.386 0.052
O 0.886 0.074 0.552
O 0.765 0.293 0.625
O 0.326 0.555 0.224
O 0.737 0.806 0.395
Al 0.321 0.776 0.222
Al 0.776 0.321 0.778
Al 0.276 0.821 0.722
Al 0.821 0.276 0.278
Al 0.382 0.382 0.000
Al 0.882 0.882 0.500
P 0.225 0.377 0.220
P 0.380 0.753 0.958
P 0.406 0.137 0.305
P 0.753 0.380 0.042
P 0.906 0.637 0.195
P 0.725 0.877 0.280
P 0.377 0.225 0.780
P 0.253 0.880 0.458
P 0.877 0.725 0.720
P 0.637 0.906 0.805
P 0.880 0.253 0.542
P 0.137 0.406 0.695
Cs 0.501 0.501 0.500
Cs 0.001 0.001 0.000
CELL_PARAMETERS angstrom
-3.135 -6.340 4.649
8.312 -1.456 -0.659
1.961 6.551 10.256
```



(2)
The following is a DFT calculation (PBE) of a geometry-optimized Cs2PaAl2O6 structure. Values from VASP.

Formation energy without anion corrections (eV per atom): -2.6406
SG: R-3m (166)
Calculated volume (A^3/atom): 18.56

Cell and atoms, written as Quantum ESPRESSO input:
```
&SYSTEM
  ibrav = 0, nat = 11, ntyp = 4
/
ATOMIC_SPECIES
O 16.00 O.upf
Cs 132.91 Cs.upf
Al 26.98 Al.upf
Pa 231.04 Pa.upf
ATOMIC_POSITIONS crystal
O 0.737 0.963 0.700
O 0.263 0.037 0.300
O 0.226 0.963 0.700
O 0.774 0.037 0.300
O 0.263 0.526 0.301
O 0.737 0.474 0.699
Cs 0.285 0.570 0.855
Cs 0.715 0.430 0.145
Al 0.081 0.161 0.242
Al 0.919 0.839 0.758
Pa 0.500 0.000 0.500
CELL_PARAMETERS angstrom
-3.589 2.960 3.930
-2.350 -2.325 -5.114
1.576 -4.898 5.129
```



(3)
The following is a DFT calculation (PBE) of a geometry-optimized CsPaAl2O6 structure. Values from VASP.

D(E_F) (states/eV per cell): 0.0
Formation energy without anion corrections (eV per atom): -2.7989
SG: R-3 (148)
Calculated volume (A^3/atom): 19.35

Cell and atoms, written as Quantum ESPRESSO input:
```
&SYSTEM
  ibrav = 0, nat = 10, ntyp = 4
/
ATOMIC_SPECIES
Al 26.98 Al.upf
O 16.00 O.upf
Pa 231.04 Pa.upf
Cs 132.91 Cs.upf
ATOMIC_POSITIONS crystal
Al 0.771 0.771 0.686
Al 0.229 0.229 0.314
O 0.534 0.679 0.694
O 0.907 0.466 0.306
O 0.466 0.321 0.306
O 0.321 0.907 0.306
O 0.679 0.093 0.694
O 0.093 0.534 0.694
Pa 0.500 0.500 0.500
Cs 0.000 0.000 0.000
CELL_PARAMETERS angstrom
5.906 0.000 0.000
2.953 5.115 0.000
2.953 1.705 6.407
```



(4)
The following is a DFT calculation (PBE) of a geometry-optimized Cs2Pa3AlO12 structure. Values from VASP.

D(E_F) (states/eV per cell): 13.9
Formation energy without anion corrections (eV per atom): -2.6424
SG: R-3m (166)
Calculated volume (A^3/atom): 18.96

Cell and atoms, written as Quantum ESPRESSO input:
```
&SYSTEM
  ibrav = 0, nat = 18, ntyp = 4
/
ATOMIC_SPECIES
O 16.00 O.upf
Al 26.98 Al.upf
Pa 231.04 Pa.upf
Cs 132.91 Cs.upf
ATOMIC_POSITIONS crystal
O 0.054 0.677 0.677
O 0.323 0.946 0.323
O 0.946 0.323 0.323
O 0.053 0.053 0.717
O 0.053 0.717 0.053
O 0.677 0.677 0.054
O 0.717 0.053 0.053
O 0.323 0.323 0.946
O 0.947 0.947 0.283
O 0.283 0.947 0.947
O 0.677 0.054 0.677
O 0.947 0.283 0.947
Al 0.000 0.000 0.000
Pa 0.500 0.000 0.000
Pa 0.000 0.000 0.500
Pa 0.000 0.500 0.000
Cs 0.370 0.370 0.370
Cs 0.630 0.630 0.630
CELL_PARAMETERS angstrom
-5.931 0.002 -4.807
-6.624 -2.536 2.824
-5.363 5.283 1.270
```



(5)
The following is a DFT calculation (PBE) of a geometry-optimized Cs2PaAlO6 structure. Values from VASP.

D(E_F) (states/eV per cell): 2.4
Formation energy without anion corrections (eV per atom): -2.2629
SG: P-3m1 (164)
Calculated volume (A^3/atom): 21.03

Cell and atoms, written as Quantum ESPRESSO input:
```
&SYSTEM
  ibrav = 0, nat = 10, ntyp = 4
/
ATOMIC_SPECIES
O 16.00 O.upf
Cs 132.91 Cs.upf
Al 26.98 Al.upf
Pa 231.04 Pa.upf
ATOMIC_POSITIONS crystal
O 0.229 0.873 0.745
O 0.771 0.745 0.873
O 0.771 0.127 0.255
O 0.229 0.255 0.127
O 0.229 0.873 0.127
O 0.771 0.127 0.873
Cs 0.846 0.667 0.333
Cs 0.154 0.333 0.667
Al 0.000 0.000 0.000
Pa 0.500 0.000 0.000
CELL_PARAMETERS angstrom
-3.374 -3.845 2.105
-0.614 -2.745 -5.999
4.823 -1.999 4.080
```



(6)
The following is a DFT calculation (PBE) of a geometry-optimized CsPaAlO5 structure. Values from VASP.

D(E_F) (states/eV per cell): 11.9
Formation energy without anion corrections (eV per atom): -2.6709
SG: C2/c (15)
Calculated volume (A^3/atom): 18.10

Cell and atoms, written as Quantum ESPRESSO input:
```
&SYSTEM
  ibrav = 0, nat = 16, ntyp = 4
/
ATOMIC_SPECIES
Al 26.98 Al.upf
O 16.00 O.upf
Cs 132.91 Cs.upf
Pa 231.04 Pa.upf
ATOMIC_POSITIONS crystal
Al 0.306 0.694 0.750
Al 0.694 0.306 0.250
O 0.212 0.386 0.622
O 0.737 0.136 0.389
O 0.614 0.788 0.878
O 0.136 0.737 0.889
O 0.788 0.614 0.378
O 0.263 0.864 0.611
O 0.864 0.263 0.111
O 0.950 0.050 0.750
O 0.386 0.212 0.122
O 0.050 0.950 0.250
Cs 0.668 0.332 0.750
Cs 0.332 0.668 0.250
Pa 0.000 0.000 0.500
Pa 0.000 0.000 0.000
CELL_PARAMETERS angstrom
6.377 0.055 -0.132
-1.809 6.116 -0.132
-2.062 -2.786 7.524
```